[1]
# SrW3 (meta-GGA SCAN, PBEsol geometry)
data_SrW3
_chemical_formula_sum 'Sr2 W6'
_cell_length_a 3.060
_cell_length_b 5.040
_cell_length_c 9.673
_cell_angle_alpha 90.00
_cell_angle_beta 90.00
_cell_angle_gamma 90.00
_space_group_name_H-M_alt 'I m m m'
_space_group_IT_number 71
_space_group_name_Hall '-I 2 2'
loop_
_atom_site_label
_atom_site_type_symbol
_atom_site_fract_x
_atom_site_fract_y
_atom_site_fract_z
Sr1 Sr 0.000 0.000 0.000
W1 W 0.000 0.000 0.500
W2 W 0.000 0.500 0.227
# ΔE_f ... 1.32 eV per atom
# Distance to the lowest polymorph of the same formula ... 85 meV per atom
# VASP energy ... -226.065 eV per formula unit

---

[2]
# Sr3W (meta-GGA SCAN, PBEsol geometry)
data_Sr3W
_chemical_formula_sum 'Sr12 W4'
_cell_length_a 8.074
_cell_length_b 8.074
_cell_length_c 8.074
_cell_angle_alpha 90.00
_cell_angle_beta 90.00
_cell_angle_gamma 90.00
_space_group_name_H-M_alt 'F m -3 m'
_space_group_IT_number 225
_space_group_name_Hall '-F 4 2 3'
loop_
_atom_site_label
_atom_site_type_symbol
_atom_site_fract_x
_atom_site_fract_y
_atom_site_fract_z
Sr1 Sr 0.000 0.000 0.000
Sr2 Sr 0.250 0.250 0.250
W1 W 0.000 0.000 0.500
# ΔE_f ... 1.15 eV per atom
# VASP energy ... -131.923 eV per formula unit

---

[3]
# SrW (meta-GGA SCAN, PBEsol geometry)
data_SrW
_chemical_formula_sum 'Sr3 W3'
_cell_length_a 4.4030
_cell_length_b 4.4030
_cell_length_c 12.6064
_cell_angle_alpha 90.00
_cell_angle_beta 90.00
_cell_angle_gamma 120.00
_space_group_name_H-M_alt 'P -3 m 1'
_space_group_IT_number 164
_space_group_name_Hall '-P 3 2"'
loop_
_atom_site_label
_atom_site_type_symbol
_atom_site_fract_x
_atom_site_fract_y
_atom_site_fract_z
Sr1 Sr 0.0000 0.0000 0.0000
Sr2 Sr 0.3333 0.6667 0.2827
W1 W 0.0000 0.0000 0.5000
W2 W 0.3333 0.6667 0.5414
# ΔE_f ... 0.54 eV per atom
# VASP energy ... -90.876 eV per formula unit